Density functional theory data (GGA+U) for a relaxed structure of SmHo2WO8.

Cell lengths 5.0425, 5.0425, 6.9040 Å; angles 90.00, 90.00, 90.55 degrees
Sites, in units of the cell vectors:
Sm  0.0000  0.0000  0.0000
Ho  0.5000  0.5000  0.2555
Ho  0.5000  0.5000  0.7445
W  0.0000  0.0000  0.5000
O  0.1849  0.8151  0.2917
O  0.1849  0.8151  0.7083
O  0.2769  0.2769  0.5000
O  0.3151  0.3151  0.0000
O  0.6849  0.6849  0.0000
O  0.7231  0.7231  0.5000
O  0.8151  0.1849  0.2917
O  0.8151  0.1849  0.7083

Results
Crystal system   orthorhombic
E   -94.83 eV per cell